PtBrF3 | GGA-PBE | optimized geometry

abc: 5.0891 6.2970 5.7548
angles: 89.98 90.00 89.99
Closest atoms and distances in Å follow each position.
Fractional coordinates of all 10 atoms:
F  0.9714  0.9344  0.7006  1 Pt 1.98
F  0.4186  0.7968  0.4540  2 Pt 2.06-2.07
F  0.9185  0.5560  0.4475  2 Pt 2.06-2.07
F  0.4187  0.7967  0.9474  2 Pt 2.06-2.07
Pt  0.1721  0.6649  0.7008  5 F 1.98-2.07
Br  0.3973  0.3286  0.7009  1 Pt 2.41
F  0.4716  0.4185  0.2008  1 Pt 1.98
F  0.9186  0.5560  0.9542  2 Pt 2.06-2.07
Br  0.8972  0.0241  0.2006  1 Pt 2.41
Pt  0.6722  0.6878  0.2008  5 F 1.98-2.07

E_form (uncorrected) = -0.86 eV/atom
Total magnetic moment = 0.112 μB/atom
Energy above the most stable polymorph in this dataset = 0 meV/atom
Space group = No. 31
V = 18.4 Å³ per atom

LaNbTe2 | GGA-PBE | optimized geometry

abc: 5.9720 5.9720 9.1953
angles: 71.05 71.05 90.00
Closest atoms and distances in Å follow each position.
Fractional coordinates of all 8 atoms:
Nb  0.2500  0.7500  0.5000  4 Te 2.77
Te  0.3750  0.4357  0.7500  2 Nb 2.77
Te  0.1857  0.6250  0.2500  2 Nb 2.77
Nb  0.5000  0.5000  0.0000  4 Te 2.77
La  0.0000  0.0000  0.0000  4 Te 3.14
Te  0.5643  0.1250  0.2500  2 Nb 2.77
Te  0.8750  0.8143  0.7500  2 Nb 2.77
La  0.7500  0.2500  0.5000  4 Te 3.14

E_form (uncorrected) = -0.26 eV/atom
Total magnetic moment = 0.606 μB/atom
Energy above the most stable polymorph in this dataset = 410 meV/atom
Space group = No. 122
V = 36.4 Å³ per atom

Li3Ho2BiS6 | GGA-PBE | optimized geometry

abc: 6.8096 6.8096 6.6153
angles: 99.90 99.90 120.01
Closest atoms and distances in Å follow each position.
Fractional coordinates of all 12 atoms:
Li  0.1621  0.8378  0.5000  6 S 2.72-2.77
Ho  0.3329  0.6671  0.0000  6 S 2.73-2.74
S  0.5735  0.9155  0.7473  3 Li 2.73-2.77, 2 Ho 2.73, 1 Bi 2.81
Li  0.8378  0.1621  0.5000  6 S 2.72-2.77
Ho  0.6671  0.3329  0.0000  6 S 2.73-2.74
Li  0.5000  0.5000  0.5000  6 S 2.69-2.76
S  0.0845  0.4265  0.2527  3 Li 2.73-2.77, 2 Ho 2.73, 1 Bi 2.81
S  0.4265  0.0845  0.2527  3 Li 2.73-2.77, 2 Ho 2.73, 1 Bi 2.81
S  0.7425  0.7425  0.2540  3 Li 2.69-2.72, 2 Ho 2.74, 1 Bi 2.81
S  0.9155  0.5735  0.7473  3 Li 2.73-2.77, 2 Ho 2.73, 1 Bi 2.81
Bi  0.0000  0.0000  0.0000  6 S 2.81
S  0.2575  0.2575  0.7460  3 Li 2.69-2.72, 2 Ho 2.74, 1 Bi 2.81

E_form (uncorrected) = -1.48 eV/atom
Total magnetic moment = 0.000 μB/atom
Space group = No. 12
V = 20.8 Å³ per atom

Zn2CoH2 | GGA-PBE | optimized geometry

abc: 2.5942 2.5942 8.8315
angles: 81.56 81.56 60.00
Closest atoms and distances in Å follow each position.
Fractional coordinates of all 5 atoms:
Zn  0.4423  0.4423  0.6731  1 H 2.06
H  0.6365  0.6365  0.0905  3 Co 1.69
Co  0.0000  0.0000  0.0000  6 H 1.69
H  0.3635  0.3635  0.9095  3 Co 1.69
Zn  0.5577  0.5577  0.3269  1 H 2.06

Total magnetic moment = 0.106 μB/atom
Energy above the most stable polymorph in this dataset = 0 meV/atom
Space group = No. 166
V = 10.1 Å³ per atom

Please write out number 1 again, unchanged.
PtBrF3 | GGA-PBE | optimized geometry

abc: 5.0891 6.2970 5.7548
angles: 89.98 90.00 89.99
Closest atoms and distances in Å follow each position.
Fractional coordinates of all 10 atoms:
F  0.9714  0.9344  0.7006  1 Pt 1.98
F  0.4186  0.7968  0.4540  2 Pt 2.06-2.07
F  0.9185  0.5560  0.4475  2 Pt 2.06-2.07
F  0.4187  0.7967  0.9474  2 Pt 2.06-2.07
Pt  0.1721  0.6649  0.7008  5 F 1.98-2.07
Br  0.3973  0.3286  0.7009  1 Pt 2.41
F  0.4716  0.4185  0.2008  1 Pt 1.98
F  0.9186  0.5560  0.9542  2 Pt 2.06-2.07
Br  0.8972  0.0241  0.2006  1 Pt 2.41
Pt  0.6722  0.6878  0.2008  5 F 1.98-2.07

E_form (uncorrected) = -0.86 eV/atom
Total magnetic moment = 0.112 μB/atom
Energy above the most stable polymorph in this dataset = 0 meV/atom
Space group = No. 31
V = 18.4 Å³ per atom

- The lowest total magnetic moment belongs to which entry?
  Li3Ho2BiS6

- Look up the V of the fourth one.
  10.1 Å³ per atom